1.
A geometry-optimized La2ZrRe structure, computed with PBEsol.

```
data_La2ZrRe
_cell_length_a 5.027
_cell_length_b 5.027
_cell_length_c 5.027
_cell_angle_alpha 60.00
_cell_angle_beta 60.00
_cell_angle_gamma 60.00
_space_group_name_H-M_alt 'P 1'
_space_group_IT_number 1
loop_
_space_group_symop_operation_xyz
'x,y,z'
loop_
_atom_site_label
_atom_site_type_symbol
_atom_site_fract_x
_atom_site_fract_y
_atom_site_fract_z
La1 La 0.750 0.750 0.750
Zr1 Zr 0.250 0.250 0.250
La2 La 0.000 0.000 0.000
Re1 Re 0.500 0.500 0.500
```

Computed properties:
calculated total energy = -31.68 eV per cell
space group = No. 216
energy of formation = 138.5 kJ/mol of formula units

=====

2.
A geometry-optimized Tl3In structure, computed with PBEsol.

```
data_Tl3In
_cell_length_a 3.424
_cell_length_b 5.870
_cell_length_c 6.446
_cell_angle_alpha 117.08
_cell_angle_beta 105.40
_cell_angle_gamma 90.00
_space_group_name_H-M_alt 'P 1'
_space_group_IT_number 1
loop_
_space_group_symop_operation_xyz
'x,y,z'
loop_
_atom_site_label
_atom_site_type_symbol
_atom_site_fract_x
_atom_site_fract_y
_atom_site_fract_z
In1 In 0.000 0.997 0.000
Tl1 Tl 0.255 0.920 0.509
Tl2 Tl 0.745 0.410 0.491
Tl3 Tl 0.500 0.506 0.000
```

Computed properties:
calculated total energy = -10.84 eV per cell
space group = No. 44
energy of formation = 3.4 kJ/mol of formula units

=====

3.
A geometry-optimized Be2AgMo structure, computed with PBEsol.

```
data_Be2AgMo
_cell_length_a 4.188
_cell_length_b 4.188
_cell_length_c 4.188
_cell_angle_alpha 60.00
_cell_angle_beta 60.00
_cell_angle_gamma 60.00
_space_group_name_H-M_alt 'P 1'
_space_group_IT_number 1
loop_
_space_group_symop_operation_xyz
'x,y,z'
loop_
_atom_site_label
_atom_site_type_symbol
_atom_site_fract_x
_atom_site_fract_y
_atom_site_fract_z
Be1 Be 0.750 0.750 0.750
Be2 Be 0.000 0.000 0.000
Mo1 Mo 0.250 0.250 0.250
Ag1 Ag 0.500 0.500 0.500
```

Computed properties:
distance to the lowest polymorph of the same formula = 534 meV per atom
calculated total energy = -20.53 eV per cell
space group = No. 216
energy of formation = 245.7 kJ/mol of formula units